No. 1
Density functional theory data (PBE-GGA) for an optimized crystal structure of Zr2Ir2Pb.

## Properties
- Electronic total energy: -40.9 eV/f.u.
- Mass density: 11.5 Mg/m³
- ΔH_f (0 K): -0.48 eV per atom
- Fermi-level density of states: 1.3 states/eV/cell
- Calculated volume: 22.37 Å³/atom
- Spin magnetization: 0.000 μB/cell

Cell lengths 6.2435, 6.2435, 6.2435 Å; angles 136.99, 136.99, 62.45 degrees
Fractional positions:
Zr  0.2500  0.7500  0.5000
Zr  0.7500  0.2500  0.5000
Ir  0.1192  0.1192  0.0000
Ir  0.8808  0.8808  0.0000
Pb  0.5000  0.5000  0.0000

***

No. 2
Density functional theory data (PBE-GGA) for an optimized crystal structure of Zr3IrPb.

## Properties
- Electronic total energy: -38.3 eV/f.u.
- Mass density: 8.5 Mg/m³
- Offset from the most stable computed form: 0.00 eV/f.u.
- ΔH_f (0 K): -0.03 eV per atom
- Fermi-level density of states: 5.5 states/eV/cell
- Calculated volume: 26.39 Å³/atom
- Spin magnetization: 0.000 μB/cell

Cell lengths 5.0909, 5.0909, 5.0909 Å; angles 90.00, 90.00, 90.00 degrees
Fractional positions:
Zr  0.0000  0.0000  0.5000
Zr  0.0000  0.5000  0.0000
Zr  0.5000  0.0000  0.0000
Ir  0.0000  0.0000  0.0000
Pb  0.5000  0.5000  0.5000

***

Q: Which value of ΔH_f (0 K) does entry 1 give?
A: -0.48 eV per atom